*w*
VASP calculation (PBE) on a geometry-optimized Na2PI structure.

abc: 8.3697 8.3697 6.6827
angles: 51.23 51.23 90.00
Positions (direct):
Na: 0.3750 0.4165 0.7500
Na: 0.8750 0.8335 0.7500
Na: 0.5835 0.1250 0.2500
Na: 0.1665 0.6250 0.2500
I: 0.0000 0.0000 0.0000
I: 0.7500 0.2500 0.5000
P: 0.2500 0.7500 0.5000
P: 0.5000 0.5000 0.0000

Density of states at the Fermi level, states/eV per atom: 0.409
Symmetry: No. 122

*x*
VASP calculation (PBE) on a geometry-optimized Na2PI structure.

abc: 5.4079 5.4079 5.4079
angles: 60.00 60.00 60.00
Last column: magnetic moment on the atom in μB.
Positions (direct):
Na: 0.2500 0.2500 0.2500  0.00
Na: 0.7500 0.7500 0.7500  0.00
P: 0.0000 0.0000 0.0000  0.70
I: 0.5000 0.5000 0.5000  0.23

Density of states at the Fermi level, states/eV per atom: 0.603
Symmetry: No. 225

The least stable of them is *x*.

*w*
VASP calculation (PBE) on a geometry-optimized NaP3I structure.

abc: 4.9859 4.9859 4.9859
angles: 90.00 90.00 90.00
Positions (direct):
P: 0.5000 0.0000 0.0000
P: 0.0000 0.0000 0.5000
P: 0.0000 0.5000 0.0000
I: 0.5000 0.5000 0.5000
Na: 0.0000 0.0000 0.0000

Density of states at the Fermi level, states/eV per atom: 1.228
Symmetry: No. 221

*x*
VASP calculation (PBE) on a geometry-optimized NaP3I structure.

abc: 5.2379 5.2379 5.2379
angles: 90.00 90.00 90.00
Last column: magnetic moment on the atom in μB.
Positions (direct):
P: 0.0000 0.0000 0.5000  0.13
P: 0.5000 0.0000 0.0000  0.09
P: 0.0000 0.5000 0.0000  0.11
Na: 0.5000 0.5000 0.5000  0.00
I: 0.0000 0.0000 0.0000  0.00

Density of states at the Fermi level, states/eV per atom: 1.223
Symmetry: No. 221

The least stable of them is *w*.

*w*
VASP calculation (PBE) on a geometry-optimized Na2P2I structure.

abc: 8.3827 8.3827 4.1714
angles: 90.00 90.00 90.00
Positions (direct):
Na: 0.3119 0.8119 0.0000
Na: 0.1881 0.3119 0.0000
Na: 0.6881 0.1881 0.0000
Na: 0.8119 0.6881 0.0000
P: 0.9157 0.4157 0.5000
P: 0.0843 0.5843 0.5000
P: 0.4157 0.0843 0.5000
P: 0.5843 0.9157 0.5000
I: 0.5000 0.5000 0.0000
I: 0.0000 0.0000 0.0000

Density of states at the Fermi level, states/eV per atom: 0.522
Symmetry: No. 127

*x*
VASP calculation (PBE) on a geometry-optimized Na2P2I structure.

abc: 3.6441 3.6441 9.1356
angles: 78.50 78.50 90.00
Positions (direct):
I: 0.0000 0.0000 0.0000
P: 0.7500 0.2500 0.5000
P: 0.2500 0.7500 0.5000
Na: 0.3888 0.3888 0.2224
Na: 0.6112 0.6112 0.7776

Density of states at the Fermi level, states/eV per atom: 0.082
Symmetry: No. 139

The least stable of them is *w*.

*w*
VASP calculation (PBE) on a geometry-optimized NaPI2 structure.

abc: 5.5659 5.5659 5.5659
angles: 60.00 60.00 60.00
Last column: magnetic moment on the atom in μB.
Positions (direct):
P: 0.5000 0.5000 0.5000  0.75
Na: 0.0000 0.0000 0.0000  0.01
I: 0.7500 0.7500 0.7500  0.10
I: 0.2500 0.2500 0.2500  0.10

Density of states at the Fermi level, states/eV per atom: 1.125
Symmetry: No. 225

*x*
VASP calculation (PBE) on a geometry-optimized NaPI2 structure.

abc: 6.1297 6.1297 9.5035
angles: 71.19 71.19 90.00
Positions (direct):
Na: 0.5000 0.5000 0.0000
Na: 0.2500 0.7500 0.5000
P: 0.0000 0.0000 0.0000
P: 0.7500 0.2500 0.5000
I: 0.8750 0.9399 0.7500
I: 0.6899 0.1250 0.2500
I: 0.0601 0.6250 0.2500
I: 0.3750 0.3101 0.7500

Density of states at the Fermi level, states/eV per atom: 0.001
Symmetry: No. 122

The least stable of them is *w*.

*w*
VASP calculation (PBE) on a geometry-optimized NaPS2I structure.

abc: 5.2320 5.2320 5.3092
angles: 90.00 90.00 90.00
Last column: magnetic moment on the atom in μB.
Positions (direct):
I: 0.0000 0.0000 0.0000  -0.01
P: 0.0000 0.0000 0.5000  0.58
S: 0.5000 0.0000 0.0000  0.15
S: 0.0000 0.5000 0.0000  0.15
Na: 0.5000 0.5000 0.5000  0.00

Density of states at the Fermi level, states/eV per atom: 0.552
Symmetry: No. 123

*x*
VASP calculation (PBE) on a geometry-optimized NaPS2I structure.

abc: 5.0154 5.0154 5.7903
angles: 90.00 90.00 90.00
Last column: magnetic moment on the atom in μB.
Positions (direct):
Na: 0.0000 0.0000 0.0000  0.00
S: 0.0000 0.5000 0.0000  0.86
S: 0.5000 0.0000 0.0000  0.86
I: 0.5000 0.5000 0.5000  0.21
P: 0.0000 0.0000 0.5000  0.74

Density of states at the Fermi level, states/eV per atom: 0.825
Symmetry: No. 123

The least stable of them is *x*.

*w*
VASP calculation (PBE) on a geometry-optimized NaSb2PI structure.

abc: 5.5685 5.5685 5.4912
angles: 90.00 90.00 90.00
Last column: magnetic moment on the atom in μB.
Positions (direct):
Na: 0.0000 0.0000 0.0000  0.00
I: 0.0000 0.0000 0.5000  0.09
Sb: 0.5000 0.0000 0.0000  -0.16
Sb: 0.0000 0.5000 0.0000  -0.16
P: 0.5000 0.5000 0.5000  0.71

Density of states at the Fermi level, states/eV per atom: 0.934
Symmetry: No. 123

*x*
VASP calculation (PBE) on a geometry-optimized NaSb2PI structure.

abc: 5.0358 9.0422 5.0358
angles: 90.00 90.00 90.00
Positions (direct):
Na: 0.5000 0.5000 0.5000
Sb: 0.5000 0.0000 0.0000
Sb: 0.0000 0.0000 0.5000
I: 0.0000 0.5000 0.0000
P: 0.0000 0.0000 0.0000

Density of states at the Fermi level, states/eV per atom: 0.509
Symmetry: No. 123

The least stable of them is *w*.

*w*
VASP calculation (PBE) on a geometry-optimized NaSbPI2 structure.

abc: 5.9513 5.9513 5.1069
angles: 90.00 90.00 90.00
Last column: magnetic moment on the atom in μB.
Positions (direct):
I: 0.0000 0.5000 0.0000  0.02
I: 0.5000 0.0000 0.0000  0.02
P: 0.0000 0.0000 0.0000  -0.05
Na: 0.5000 0.5000 0.5000  0.00
Sb: 0.0000 0.0000 0.5000  0.17

Density of states at the Fermi level, states/eV per atom: 0.601
Symmetry: No. 123

*x*
VASP calculation (PBE) on a geometry-optimized NaSbPI2 structure.

abc: 5.6581 5.6581 6.3720
angles: 90.00 90.00 90.00
Last column: magnetic moment on the atom in μB.
Positions (direct):
Sb: 0.0000 0.0000 0.5000  -0.71
I: 0.5000 0.0000 0.0000  0.03
I: 0.0000 0.5000 0.0000  0.03
Na: 0.0000 0.0000 0.0000  -0.01
P: 0.5000 0.5000 0.5000  1.01

Density of states at the Fermi level, states/eV per atom: 1.344
Symmetry: No. 123

The least stable of them is *x*.

*w*
VASP calculation (PBE) on a geometry-optimized NaTe2PI structure.

abc: 5.7435 5.7435 5.6641
angles: 90.00 90.00 90.00
Last column: magnetic moment on the atom in μB.
Positions (direct):
P: 0.5000 0.5000 0.5000  0.93
Na: 0.0000 0.0000 0.0000  0.00
Te: 0.0000 0.5000 0.0000  -0.50
Te: 0.5000 0.0000 0.0000  -0.50
I: 0.0000 0.0000 0.5000  -0.12

Density of states at the Fermi level, states/eV per atom: 1.440
Symmetry: No. 123

*x*
VASP calculation (PBE) on a geometry-optimized NaTe2PI structure.

abc: 5.3638 5.3638 5.6794
angles: 90.00 90.00 90.00
Positions (direct):
P: 0.0000 0.0000 0.0000
Na: 0.5000 0.5000 0.5000
Te: 0.5000 0.0000 0.0000
Te: 0.0000 0.5000 0.0000
I: 0.0000 0.0000 0.5000

Density of states at the Fermi level, states/eV per atom: 1.240
Symmetry: No. 123

The least stable of them is *w*.

*w*
VASP calculation (PBE) on a geometry-optimized NaPaI6 structure.

abc: 7.1565 7.7671 7.7671
angles: 120.00 90.00 90.00
Positions (direct):
I: 0.2376 0.6603 0.6411
I: 0.7624 0.6603 0.0191
I: 0.2376 0.3589 0.0191
I: 0.7624 0.9809 0.6411
I: 0.2376 0.9809 0.3397
I: 0.7624 0.3589 0.3397
Na: 0.5000 0.0000 0.0000
Pa: 0.0000 0.6667 0.3333

Symmetry: No. 149

*x*
VASP calculation (PBE) on a geometry-optimized NaPaI6 structure.

abc: 7.7296 7.8054 8.0837
angles: 61.13 80.66 70.36
Positions (direct):
I: 0.2722 0.2660 0.0000
I: 0.7278 0.7340 0.0000
I: 0.2646 0.5789 0.2998
I: 0.7354 0.4211 0.7002
I: 0.2646 0.8786 0.7002
I: 0.7354 0.1214 0.2998
Pa: 0.5000 0.5000 0.0000
Na: 0.0000 0.0000 0.0000

Symmetry: No. 12

The least stable of them is *w*.

*w*
VASP calculation (PBE) on a geometry-optimized Na2PaI6 structure.

abc: 7.5317 7.9403 13.5571
angles: 90.03 90.00 90.00
Last column: magnetic moment on the atom in μB.
Positions (direct):
I: 0.2357 0.1611 0.3431  -0.02
I: 0.2687 0.6597 0.1594  -0.02
I: 0.2313 0.1597 0.6594  -0.02
I: 0.7334 0.8132 0.9997  -0.02
I: 0.2666 0.1868 0.0003  -0.02
I: 0.7687 0.8403 0.3406  -0.02
I: 0.2334 0.6868 0.5003  -0.02
I: 0.7666 0.3132 0.4997  -0.02
I: 0.2643 0.6611 0.8431  -0.02
I: 0.7313 0.3403 0.8406  -0.02
I: 0.7357 0.3389 0.1569  -0.02
I: 0.7643 0.8389 0.6569  -0.02
Na: 0.5000 0.0007 0.1734  0.00
Na: 0.5000 0.9993 0.8266  0.00
Na: 0.0000 0.4993 0.3266  0.00
Na: 0.0000 0.5007 0.6734  0.00
Pa: 0.5000 0.5000 0.0000  1.09
Pa: 0.0000 0.0000 0.5000  1.09

Density of states at the Fermi level, states/eV per atom: 0.115
Symmetry: No. 14

*x*
VASP calculation (PBE) on a geometry-optimized Na2PaI6 structure.

abc: 7.5950 7.5950 13.9849
angles: 90.00 90.00 90.00
Last column: magnetic moment on the atom in μB.
Positions (direct):
Na: 0.5000 0.5000 0.3337  0.00
Na: 0.0000 0.0000 0.8337  0.00
Na: 0.5000 0.5000 0.6663  0.00
Na: 0.0000 0.0000 0.1663  0.00
I: 0.2157 0.7843 0.0000  -0.02
I: 0.1956 0.8044 0.6574  -0.02
I: 0.1956 0.8044 0.3426  -0.02
I: 0.3044 0.3044 0.8426  -0.02
I: 0.3044 0.3044 0.1574  -0.02
I: 0.2843 0.2843 0.5000  -0.02
I: 0.8044 0.1956 0.3426  -0.02
I: 0.8044 0.1956 0.6574  -0.02
I: 0.7157 0.7157 0.5000  -0.02
I: 0.6956 0.6956 0.1574  -0.02
I: 0.7843 0.2157 0.0000  -0.02
I: 0.6956 0.6956 0.8426  -0.02
Pa: 0.5000 0.5000 0.0000  1.09
Pa: 0.0000 0.0000 0.5000  1.09

Density of states at the Fermi level, states/eV per atom: 0.129
Symmetry: No. 136

The least stable of them is *x*.

*w*
VASP calculation (PBE) on a geometry-optimized NaPbI3 structure.

abc: 6.3311 6.3311 6.3311
angles: 90.00 90.00 90.00
Positions (direct):
I: 0.0000 0.0000 0.5000
I: 0.0000 0.5000 0.0000
I: 0.5000 0.0000 0.0000
Na: 0.5000 0.5000 0.5000
Pb: 0.0000 0.0000 0.0000

Density of states at the Fermi level, states/eV per atom: 0.000
Symmetry: No. 221

*x*
VASP calculation (PBE) on a geometry-optimized NaPbI3 structure.

abc: 4.7923 8.3338 13.1420
angles: 112.93 90.00 90.00
Positions (direct):
I: 0.2500 0.1424 0.9124
I: 0.2500 0.5614 0.7545
I: 0.7500 0.4386 0.2455
I: 0.7500 0.9007 0.6030
I: 0.2500 0.0993 0.3970
I: 0.7500 0.8576 0.0876
Na: 0.7500 0.8438 0.3398
Na: 0.2500 0.1562 0.6602
Pb: 0.2500 0.1588 0.1718
Pb: 0.7500 0.8412 0.8282

Density of states at the Fermi level, states/eV per atom: 0.000
Symmetry: No. 11

*y*
VASP calculation (PBE) on a geometry-optimized NaPbI3 structure.

abc: 4.6744 8.0837 11.5042
angles: 101.02 90.00 90.00
Positions (direct):
I: 0.7500 0.0132 0.3252
I: 0.2500 0.7428 0.9983
I: 0.2500 0.5485 0.3505
I: 0.7500 0.2572 0.0017
I: 0.2500 0.9868 0.6748
I: 0.7500 0.4515 0.6495
Na: 0.7500 0.7875 0.5293
Na: 0.2500 0.2125 0.4707
Pb: 0.2500 0.3543 0.8324
Pb: 0.7500 0.6457 0.1676

Density of states at the Fermi level, states/eV per atom: 0.000
Symmetry: No. 11

The least stable of them is *w*.

*w*
VASP calculation (PBE) on a geometry-optimized Na2PbI4 structure.

abc: 6.3400 6.3400 9.3999
angles: 70.29 70.29 90.00
Positions (direct):
I: 0.0000 0.5000 0.0000
I: 0.5000 0.0000 0.0000
I: 0.8090 0.8090 0.3819
I: 0.1910 0.1910 0.6181
Pb: 0.0000 0.0000 0.0000
Na: 0.6296 0.6296 0.7408
Na: 0.3704 0.3704 0.2592

Density of states at the Fermi level, states/eV per atom: 0.000
Symmetry: No. 139

*x*
VASP calculation (PBE) on a geometry-optimized Na2PbI4 structure.

abc: 4.7178 8.1214 9.0560
angles: 120.20 105.10 90.00
Positions (direct):
I: 0.1191 0.8021 0.2382
I: 0.6367 0.2869 0.2735
I: 0.3633 0.7131 0.7265
I: 0.8809 0.1979 0.7618
Na: 0.2773 0.2459 0.5546
Na: 0.7227 0.7541 0.4454
Pb: 0.0000 0.0000 0.0000

Density of states at the Fermi level, states/eV per atom: 0.000
Symmetry: No. 12

The least stable of them is *w*.